No. 1
Compound: Sc4AlOs
Source: Alexandria via LeMat-Bulk
Functional: PBE
Structure: optimized geometry

abc: 8.9078 8.9078 8.9078
angles: 60.00 60.00 60.00
With the nearest neighbours (Å) after each atom.
Atoms (fractional coordinates):
1 Sc 0.0575 0.0575 0.4425  2 Al 3.03, 2 Os 3.16, 6 Sc 3.17-3.31
2 Sc 0.0575 0.4425 0.0575  2 Al 3.03, 2 Os 3.16, 6 Sc 3.17-3.31
3 Sc 0.0575 0.4425 0.4425  2 Al 3.03, 2 Os 3.16, 6 Sc 3.17-3.31
4 Sc 0.0757 0.6414 0.6414  3 Os 2.68
5 Sc 0.1925 0.1925 0.8075  2 Os 2.67
6 Sc 0.1925 0.8075 0.1925  2 Os 2.67
7 Sc 0.1925 0.8075 0.8075  2 Os 2.67
8 Sc 0.4425 0.0575 0.0575  2 Al 3.03, 2 Os 3.16, 6 Sc 3.17-3.31
9 Sc 0.4425 0.0575 0.4425  2 Al 3.03, 2 Os 3.16, 6 Sc 3.17-3.31
10 Sc 0.4425 0.4425 0.0575  2 Al 3.03, 2 Os 3.16, 6 Sc 3.17-3.31
11 Sc 0.6414 0.0757 0.6414  3 Os 2.68
12 Sc 0.6414 0.6414 0.0757  3 Os 2.68
13 Sc 0.6414 0.6414 0.6414  3 Os 2.68
14 Sc 0.8075 0.1925 0.1925  2 Os 2.67
15 Sc 0.8075 0.1925 0.8075  2 Os 2.67
16 Sc 0.8075 0.8075 0.1925  2 Os 2.67
17 Al 0.4191 0.4191 0.4191  3 Al 2.88, 9 Sc 3.00-3.20
18 Al 0.4191 0.4191 0.7427  3 Al 2.88, 9 Sc 3.00-3.20
19 Al 0.4191 0.7427 0.4191  3 Al 2.88, 9 Sc 3.00-3.20
20 Al 0.7427 0.4191 0.4191  3 Al 2.88, 9 Sc 3.00-3.20
21 Os 0.4384 0.8539 0.8539  6 Sc 2.67-2.68
22 Os 0.8539 0.4384 0.8539  6 Sc 2.67-2.68
23 Os 0.8539 0.8539 0.4384  6 Sc 2.67-2.68
24 Os 0.8539 0.8539 0.8539  6 Sc 2.67-2.68

Computed properties:
Magnetic moment (μB/cell): 0.00
Calculated total energy (eV/f.u.): -42.4
Energy relative to the lowest polymorph listed for this composition (eV per atom): 0.000



No. 2
Compound: ScAlOs2
Source: Alexandria via LeMat-Bulk
Functional: PBE
Structure: optimized geometry

abc: 4.6608 4.6608 4.9789
angles: 104.71 104.71 37.21
With the nearest neighbours (Å) after each atom.
Atoms (fractional coordinates):
1 Sc 0.0000 0.0000 0.0000  6 Os 2.79-2.83, 4 Al 2.90, 2 Sc 2.97
2 Al 0.5000 0.5000 0.5000  6 Os 2.57-2.80
3 Os 0.2387 0.2387 0.7164  3 Al 2.57-2.80, 2 Os 2.67, 3 Sc 2.79-2.83
4 Os 0.7613 0.7613 0.2836  3 Al 2.57-2.80, 2 Os 2.67, 3 Sc 2.79-2.83

Computed properties:
Magnetic moment (μB/cell): 0.00
Calculated total energy (eV/f.u.): -33.3



No. 3
Compound: Sc2AlOs
Source: Alexandria via LeMat-Bulk
Functional: PBE
Structure: optimized geometry

abc: 6.0945 6.0945 6.0945
angles: 101.34 101.34 127.35
With the nearest neighbours (Å) after each atom.
Atoms (fractional coordinates):
1 Sc 0.0706 0.6250 0.9456  2 Os 2.54, 2 Sc 2.83
2 Sc 0.3750 0.3206 0.4456  2 Os 2.54, 2 Sc 2.83
3 Sc 0.6794 0.1250 0.0544  2 Os 2.54, 2 Sc 2.83
4 Sc 0.8750 0.9294 0.5544  2 Os 2.54, 2 Sc 2.83
5 Al 0.2500 0.7500 0.5000  2 Os 2.70
6 Al 0.5000 0.5000 0.0000  2 Os 2.70
7 Os 0.0000 0.0000 0.0000  4 Sc 2.54, 2 Al 2.70
8 Os 0.7500 0.2500 0.5000  4 Sc 2.54, 2 Al 2.70

Computed properties:
Magnetic moment (μB/cell): 0.00
Calculated total energy (eV/f.u.): -27.4



No. 4
Compound: ScAlOs2
Source: Alexandria via LeMat-Bulk
Functional: PBE
Structure: optimized geometry

abc: 2.8297 2.8297 8.3900
angles: 90.00 90.00 113.28
With the nearest neighbours (Å) after each atom.
Atoms (fractional coordinates):
1 Sc 0.0000 0.0000 0.0000  4 Os 2.70, 4 Sc 2.83
2 Al 0.0000 0.0000 0.5000  4 Os 2.53, 4 Al 2.83
3 Os 0.5000 0.5000 0.2625  2 Al 2.53, 2 Sc 2.70, 4 Os 2.83
4 Os 0.5000 0.5000 0.7375  2 Al 2.53, 2 Sc 2.70, 4 Os 2.83

Computed properties:
Magnetic moment (μB/cell): 0.00
Calculated total energy (eV/f.u.): -33.0



No. 5
Compound: ScAl2Os2
Source: Alexandria via LeMat-Bulk
Functional: PBE
Structure: optimized geometry

abc: 7.1972 7.1972 2.9886
angles: 90.00 90.00 90.00
With the nearest neighbours (Å) after each atom.
Atoms (fractional coordinates):
1 Sc 0.0000 0.0000 0.0000  4 Al 2.83, 2 Sc 2.99, 8 Os 3.07
2 Sc 0.5000 0.5000 0.0000  4 Al 2.83, 2 Sc 2.99, 8 Os 3.07
3 Al 0.1287 0.3713 0.0000  6 Os 2.56-2.61, 1 Al 2.62, 2 Sc 2.83
4 Al 0.3713 0.8713 0.0000  6 Os 2.56-2.61, 1 Al 2.62, 2 Sc 2.83
5 Al 0.6287 0.1287 0.0000  6 Os 2.56-2.61, 1 Al 2.62, 2 Sc 2.83
6 Al 0.8713 0.6287 0.0000  6 Os 2.56-2.61, 1 Al 2.62, 2 Sc 2.83
7 Os 0.1669 0.6669 0.5000  6 Al 2.56-2.61
8 Os 0.3331 0.1669 0.5000  6 Al 2.56-2.61
9 Os 0.6669 0.8331 0.5000  6 Al 2.56-2.61
10 Os 0.8331 0.3331 0.5000  6 Al 2.56-2.61

Computed properties:
Magnetic moment (μB/cell): 0.00
Calculated total energy (eV/f.u.): -38.4
Energy relative to the lowest polymorph listed for this composition (eV per atom): 0.000



No. 6
Compound: Sc2AlOs
Source: Alexandria via LeMat-Bulk
Functional: PBE
Structure: optimized geometry

abc: 3.1683 3.1683 7.6104
angles: 90.00 90.00 90.00
With the nearest neighbours (Å) after each atom.
Atoms (fractional coordinates):
1 Sc 0.0000 0.0000 0.0000  4 Os 2.76, 1 Al 2.92
2 Sc 0.5000 0.5000 0.3545  4 Al 3.00, 4 Sc 3.17, 1 Os 3.30
3 Al 0.0000 0.0000 0.6167  4 Os 2.59
4 Os 0.5000 0.5000 0.7876  4 Al 2.59, 4 Sc 2.76

Computed properties:
Magnetic moment (μB/cell): 0.16
Calculated total energy (eV/f.u.): -29.0



No. 7
Compound: ScAlOs2
Source: Alexandria via LeMat-Bulk
Functional: PBE
Structure: optimized geometry

abc: 8.5676 8.5676 8.5676
angles: 19.66 19.66 19.66
With the nearest neighbours (Å) after each atom.
Atoms (fractional coordinates):
1 Sc 0.0000 0.0000 0.0000  6 Os 2.77, 6 Sc 2.93
2 Al 0.5000 0.5000 0.5000  6 Os 2.62, 6 Al 2.93
3 Os 0.2462 0.2462 0.2462  3 Al 2.62, 3 Sc 2.77, 6 Os 2.93
4 Os 0.7538 0.7538 0.7538  3 Al 2.62, 3 Sc 2.77, 6 Os 2.93

Computed properties:
Magnetic moment (μB/cell): 0.00
Calculated total energy (eV/f.u.): -32.8



No. 8
Compound: ScAlOs2
Source: Alexandria via LeMat-Bulk
Functional: PBE
Structure: optimized geometry

abc: 9.0999 9.0999 9.0999
angles: 18.32 18.32 18.32
With the nearest neighbours (Å) after each atom.
Atoms (fractional coordinates):
1 Sc 0.0000 0.0000 0.0000  3 Os 2.82, 6 Sc 2.90, 3 Al 3.06
2 Al 0.7620 0.7620 0.7620  3 Os 2.65, 6 Al 2.90
3 Os 0.2487 0.2487 0.2487  9 Os 2.66-2.90, 3 Sc 2.82
4 Os 0.5051 0.5051 0.5051  3 Al 2.65, 9 Os 2.66-2.90

Computed properties:
Magnetic moment (μB/cell): 0.00
Calculated total energy (eV/f.u.): -32.2



No. 9
Compound: Sc4Al2Os
Source: Alexandria via LeMat-Bulk
Functional: PBE
Structure: optimized geometry

abc: 7.7198 7.7198 7.7198
angles: 142.01 142.01 54.82
With the nearest neighbours (Å) after each atom.
Atoms (fractional coordinates):
1 Sc 0.0000 0.5000 0.5000  2 Os 2.51
2 Sc 0.1823 0.1823 0.0000  1 Os 2.50
3 Sc 0.5000 0.0000 0.5000  2 Os 2.51
4 Sc 0.8177 0.8177 0.0000  1 Os 2.50
5 Al 0.3888 0.3888 0.0000  5 Sc 2.83-2.94, 1 Al 3.05
6 Al 0.6112 0.6112 0.0000  5 Sc 2.83-2.94, 1 Al 3.05
7 Os 0.0000 0.0000 0.0000  6 Sc 2.50-2.51

Computed properties:
Magnetic moment (μB/cell): 0.00
Calculated total energy (eV/f.u.): -43.6



No. 10
Compound: Sc2AlOs3
Source: Alexandria via LeMat-Bulk
Functional: PBE
Structure: optimized geometry

abc: 5.1721 5.1721 5.1736
angles: 118.79 118.79 61.02
With the nearest neighbours (Å) after each atom.
Atoms (fractional coordinates):
1 Sc 0.1225 0.1225 0.3783  9 Os 3.04-3.06, 4 Sc 3.07-3.25, 3 Al 3.09
2 Sc 0.8775 0.8775 0.6217  9 Os 3.04-3.06, 4 Sc 3.07-3.25, 3 Al 3.09
3 Al 0.5000 0.5000 0.0000  6 Os 2.59
4 Os 0.0000 0.5000 0.0000  2 Al 2.59, 4 Os 2.63
5 Os 0.5000 0.0000 0.0000  2 Al 2.59, 4 Os 2.63
6 Os 0.5000 0.5000 0.5000  2 Al 2.59, 4 Os 2.63

Computed properties:
Magnetic moment (μB/cell): 0.00
Calculated total energy (eV/f.u.): -52.7



No. 11
Compound: Sc4AlOs
Source: Alexandria via LeMat-Bulk
Functional: PBE
Structure: optimized geometry

abc: 8.0095 8.0095 8.0095
angles: 33.67 33.67 33.67
With the nearest neighbours (Å) after each atom.
Atoms (fractional coordinates):
1 Sc 0.1159 0.1159 0.1159  1 Os 2.62, 3 Al 2.91
2 Sc 0.3674 0.3674 0.3674  3 Os 2.79, 1 Al 3.00, 3 Sc 3.09
3 Sc 0.6326 0.6326 0.6326  3 Os 2.79, 1 Al 3.00, 3 Sc 3.09
4 Sc 0.8841 0.8841 0.8841  1 Os 2.62, 3 Al 2.91
5 Al 0.5000 0.5000 0.5000  8 Sc 2.91-3.00
6 Os 0.0000 0.0000 0.0000  8 Sc 2.62-2.79

Computed properties:
Magnetic moment (μB/cell): 0.00
Calculated total energy (eV/f.u.): -41.1
Energy relative to the lowest polymorph listed for this composition (eV per atom): 0.212



No. 12
Compound: ScAlOs2
Source: Alexandria via LeMat-Bulk
Functional: PBE
Structure: optimized geometry

abc: 5.7145 5.7145 5.7145
angles: 102.65 102.65 124.20
With the nearest neighbours (Å) after each atom.
Atoms (fractional coordinates):
1 Sc 0.0000 0.0000 0.0000  2 Al 2.67, 4 Os 2.82
2 Sc 0.7500 0.2500 0.5000  2 Al 2.67, 4 Os 2.82
3 Al 0.2500 0.7500 0.5000  4 Os 2.43, 2 Sc 2.67
4 Al 0.5000 0.5000 0.0000  4 Os 2.43, 2 Sc 2.67
5 Os 0.1650 0.1250 0.5400  2 Al 2.43
6 Os 0.3750 0.8350 0.9600  2 Al 2.43
7 Os 0.5850 0.6250 0.4600  2 Al 2.43
8 Os 0.8750 0.4150 0.0400  2 Al 2.43

Computed properties:
Magnetic moment (μB/cell): 0.00
Calculated total energy (eV/f.u.): -31.0



- The highest calculated total energy belongs to which entry?
  number 3